(1)
Crystalline CsZrSb2O8 at its relaxed geometry. Source: the Alexandria database, functional PBE.

Properties
Its formation energy (no corrections) is -1889.7 kJ/mol of formula units. The total magnetization comes out at 1.08 μB per cell. For the density of states at the Fermi level, the calculation gives 0.73 states/eV per atom. For the density, the calculation gives 3.96 g/cm3.

abc: 5.816 5.816 8.538
angles: 90.00 90.00 120.00
Positions (direct):
Cs (0.000, 0.000, 0.000)
Zr (0.000, 0.000, 0.500)
Sb (0.333, 0.667, 0.712)
Sb (0.667, 0.333, 0.288)
O (0.074, 0.321, 0.646)
O (0.247, 0.926, 0.646)
O (0.321, 0.247, 0.354)
O (0.333, 0.667, 0.936)
O (0.667, 0.333, 0.064)
O (0.679, 0.753, 0.646)
O (0.753, 0.074, 0.354)
O (0.926, 0.679, 0.354)

***

(2)
Crystalline Pm2Nd7Tm4 at its relaxed geometry. Source: the Alexandria database, functional PBE.

Properties
As for the energy of formation: 0.067 eV/atom. The total magnetization comes out at 0.00 μB per cell. For the density of states at the Fermi level, the calculation gives 1.46 states/eV per atom. For the density, the calculation gives 7.49 g/cm3.

abc: 6.901 8.762 8.900
angles: 116.66 101.15 103.95
Positions (direct):
Pm (0.194, 0.228, 0.123)
Pm (0.806, 0.772, 0.877)
Nd (0.151, 0.971, 0.683)
Nd (0.255, 0.509, 0.569)
Nd (0.412, 0.142, 0.458)
Nd (0.500, 0.500, 0.000)
Nd (0.588, 0.858, 0.542)
Nd (0.745, 0.491, 0.431)
Nd (0.849, 0.029, 0.317)
Tm (0.073, 0.651, 0.222)
Tm (0.323, 0.829, 0.995)
Tm (0.677, 0.171, 0.005)
Tm (0.927, 0.349, 0.778)